## w
An optimized crystal structure of NdDyAlZn. Source: Alexandria via LeMat-Bulk, functional GGA-PBE.

Summary:
Spin magnetization = 0.0 μB per formula unit

a = 3.6227 Å, b = 3.6227 Å, c = 7.4129 Å
α = 90.00°, β = 90.00°, γ = 90.00°
Space group P4mm (No. 99)
Asymmetric unit:
Nd1 0.0000 0.0000 0.0000
Dy1 0.0000 0.0000 0.5084
Al1 0.5000 0.5000 0.2658
Zn1 0.5000 0.5000 0.7332

---

## x
An optimized crystal structure of NdDyAlZn. Source: Alexandria via LeMat-Bulk, functional GGA-PBE.

Summary:
Spin magnetization = 0.0 μB per formula unit

a = 7.3140 Å, b = 7.3140 Å, c = 7.3140 Å
α = 90.00°, β = 90.00°, γ = 90.00°
Space group F-43m (No. 216)
Asymmetric unit:
Nd1 0.0000 0.0000 0.0000
Dy1 0.0000 0.0000 0.5000
Al1 0.2500 0.2500 0.2500
Zn1 0.2500 0.2500 0.7500

---

Which of them is the most stable, and which is the least stable? w and x, in that order.

---

## w
An optimized crystal structure of DyAl2Ni9. Source: Alexandria via LeMat-Bulk, functional GGA-PBE.

Summary:
Spin magnetization = 0.6 μB per formula unit

a = 8.0494 Å, b = 8.0494 Å, c = 4.7107 Å
α = 90.00°, β = 90.00°, γ = 90.00°
Space group P4/mbm (No. 127)
Asymmetric unit:
Dy1 0.0000 0.0000 0.0000
Al1 0.1206 0.3794 0.0000
Ni1 0.0000 0.5000 0.5000
Ni2 0.0648 0.2095 0.5000
Ni3 0.1774 0.6774 0.2401

---

## x
An optimized crystal structure of DyAl2Ni9. Source: Alexandria via LeMat-Bulk, functional GGA-PBE.

Summary:
Spin magnetization = 0.0 μB per formula unit

a = 4.8068 Å, b = 4.8068 Å, c = 23.0700 Å
α = 90.00°, β = 90.00°, γ = 120.00°
Space group R-3m (No. 166, hexagonal axes)
Asymmetric unit:
Dy1 0.0000 0.0000 0.0000
Al1 0.0000 0.0000 0.1438
Ni1 0.0000 0.0000 0.3341
Ni2 0.0000 0.0000 0.5000
Ni3 0.0064 0.5032 0.9125

---

Which of them is the most stable, and which is the least stable? w and x, in that order.

---

## w
An optimized crystal structure of DyAl4Os. Source: Alexandria via LeMat-Bulk, functional GGA-PBE.

Summary:
Spin magnetization = 0.0 μB per formula unit

a = 4.0981 Å, b = 4.0981 Å, c = 7.8916 Å
α = 90.00°, β = 90.00°, γ = 90.00°
Space group P4/mmm (No. 123)
Asymmetric unit:
Dy1 0.0000 0.0000 0.0000
Al1 0.0000 0.5000 0.3147
Os1 0.5000 0.5000 0.5000

---

## x
An optimized crystal structure of DyAl4Os. Source: Alexandria via LeMat-Bulk, functional GGA-PBE.

Summary:
Spin magnetization = 0.0 μB per formula unit

a = 7.7728 Å, b = 4.1246 Å, c = 6.9016 Å
α = 90.00°, β = 90.00°, γ = 90.00°
Space group Pmma (No. 51)
Asymmetric unit:
Dy1 0.2500 0.0000 0.1247
Al1 0.0000 0.0000 0.5000
Al2 0.0671 0.5000 0.8134
Al3 0.2500 0.5000 0.4602
Os1 0.2500 0.0000 0.7013

---

Which of them is the most stable, and which is the least stable? x and w, in that order.

---

## w
An optimized crystal structure of DyPa2Al9. Source: Alexandria via LeMat-Bulk, functional GGA-PBE.

Summary:
Spin magnetization = 0.0 μB per formula unit

a = 4.2898 Å, b = 4.2898 Å, c = 12.8828 Å
α = 90.00°, β = 90.00°, γ = 90.00°
Space group P4/mmm (No. 123)
Asymmetric unit:
Dy1 0.0000 0.0000 0.0000
Pa1 0.0000 0.0000 0.3324
Al1 0.0000 0.5000 0.1656
Al2 0.0000 0.5000 0.5000
Al3 0.5000 0.5000 0.0000
Al4 0.5000 0.5000 0.3330

---

## x
An optimized crystal structure of DyPa2Al9. Source: Alexandria via LeMat-Bulk, functional GGA-PBE.

Summary:
Spin magnetization = 0.0 μB per formula unit

a = 5.4942 Å, b = 5.4942 Å, c = 26.5947 Å
α = 90.00°, β = 90.00°, γ = 120.00°
Space group R-3m (No. 166, hexagonal axes)
Asymmetric unit:
Dy1 0.0000 0.0000 0.0000
Pa1 0.0000 0.0000 0.1469
Al1 0.0000 0.0000 0.3350
Al2 0.0000 0.0000 0.5000
Al3 0.0055 0.5028 0.9163

---

Which of them is the most stable, and which is the least stable? w and x, in that order.

---

## w
An optimized crystal structure of DyAlPb2. Source: Alexandria via LeMat-Bulk, functional GGA-PBE.

Summary:
Spin magnetization = 0.0 μB per formula unit

a = 5.0055 Å, b = 5.0055 Å, c = 15.0272 Å
α = 90.00°, β = 90.00°, γ = 120.00°
Space group R-3m (No. 166, hexagonal axes)
Asymmetric unit:
Dy1 0.0000 0.0000 0.0000
Al1 0.0000 0.0000 0.5000
Pb1 0.0000 0.0000 0.2324

---

## x
An optimized crystal structure of DyAlPb2. Source: Alexandria via LeMat-Bulk, functional GGA-PBE.

Summary:
Spin magnetization = 0.0 μB per formula unit

a = 4.7321 Å, b = 4.7321 Å, c = 4.6438 Å
α = 90.00°, β = 90.00°, γ = 90.00°
Space group P4/mmm (No. 123)
Asymmetric unit:
Dy1 0.0000 0.0000 0.0000
Al1 0.5000 0.5000 0.0000
Pb1 0.0000 0.5000 0.5000

---

Which of them is the most stable, and which is the least stable? x and w, in that order.

---

## w
An optimized crystal structure of Dy2AlPd. Source: Alexandria via LeMat-Bulk, functional GGA-PBE.

Summary:
Spin magnetization = 0.0 μB per formula unit

a = 3.5621 Å, b = 3.5621 Å, c = 7.0940 Å
α = 90.00°, β = 90.00°, γ = 90.00°
Space group P4/mmm (No. 123)
Asymmetric unit:
Dy1 0.0000 0.0000 0.2393
Al1 0.5000 0.5000 0.5000
Pd1 0.5000 0.5000 0.0000

---

## x
An optimized crystal structure of Dy2AlPd. Source: Alexandria via LeMat-Bulk, functional GGA-PBE.

Summary:
Spin magnetization = 0.0 μB per formula unit

a = 7.1511 Å, b = 7.1511 Å, c = 7.1511 Å
α = 90.00°, β = 90.00°, γ = 90.00°
Space group Fm-3m (No. 225)
Asymmetric unit:
Dy1 0.2500 0.2500 0.2500
Al1 0.0000 0.0000 0.0000
Pd1 0.0000 0.0000 0.5000

---

Which of them is the most stable, and which is the least stable? w and x, in that order.

---

## w
An optimized crystal structure of Dy3Al8Pd3. Source: Alexandria via LeMat-Bulk, functional GGA-PBE.

Summary:
Spin magnetization = 0.0 μB per formula unit

a = 15.6855 Å, b = 4.4136 Å, c = 9.2362 Å
α = 90.00°, β = 125.53°, γ = 90.00°
Space group C2/m (No. 12)
Asymmetric unit:
Dy1 0.0000 0.0000 0.0000
Dy2 0.2134 0.5000 0.7058
Al1 0.0045 0.5000 0.6720
Al2 0.1357 0.0000 0.4254
Al3 0.1490 0.0000 0.8647
Al4 0.1517 0.5000 0.2822
Pd1 0.0000 0.0000 0.5000
Pd2 0.1489 0.5000 0.0043

---

## x
An optimized crystal structure of Dy3Al8Pd3. Source: Alexandria via LeMat-Bulk, functional GGA-PBE.

Summary:
Spin magnetization = 0.0 μB per formula unit

a = 4.3400 Å, b = 9.9071 Å, c = 12.2534 Å
α = 90.00°, β = 90.00°, γ = 90.00°
Space group Immm (No. 71)
Asymmetric unit:
Dy1 0.0000 0.0000 0.0000
Dy2 0.0000 0.0000 0.3115
Al1 0.0000 0.2832 0.1226
Al2 0.0000 0.3668 0.3372
Pd1 0.0000 0.2093 0.5000
Pd2 0.0000 0.5000 0.0000

---

Which of them is the most stable, and which is the least stable? w and x, in that order.

---

## w
An optimized crystal structure of DyAl3Pd. Source: Alexandria via LeMat-Bulk, functional GGA-PBE.

Summary:
Spin magnetization = 0.0 μB per formula unit

a = 8.3233 Å, b = 4.1582 Å, c = 10.9564 Å
α = 90.00°, β = 90.00°, γ = 90.00°
Space group Pnma (No. 62)
Asymmetric unit:
Dy1 0.1840 0.2500 0.0103
Al1 0.0656 0.2500 0.5889
Al2 0.1114 0.7500 0.7961
Al3 0.1408 0.7500 0.2157
Pd1 0.1024 0.2500 0.3580

---

## x
An optimized crystal structure of DyAl3Pd. Source: Alexandria via LeMat-Bulk, functional GGA-PBE.

Summary:
Spin magnetization = 0.0 μB per formula unit

a = 6.7987 Å, b = 4.1944 Å, c = 6.8533 Å
α = 90.00°, β = 105.21°, γ = 90.00°
Space group P2_1/m (No. 11)
Asymmetric unit:
Dy1 0.1933 0.2500 0.1716
Al1 0.0721 0.2500 0.6471
Al2 0.3185 0.7500 0.9001
Al3 0.3399 0.7500 0.5144
Pd1 0.4508 0.2500 0.7394

---

Which of them is the most stable, and which is the least stable? w and x, in that order.

---

## w
An optimized crystal structure of Dy2AlPd3. Source: Alexandria via LeMat-Bulk, functional GGA-PBE.

Summary:
Spin magnetization = 0.0 μB per formula unit

a = 5.6156 Å, b = 5.6156 Å, c = 12.4974 Å
α = 90.00°, β = 90.00°, γ = 120.00°
Space group R-3m (No. 166, hexagonal axes)
Asymmetric unit:
Dy1 0.0000 0.0000 0.1287
Al1 0.0000 0.0000 0.5000
Pd1 0.0000 0.5000 0.0000

---

## x
An optimized crystal structure of Dy2AlPd3. Source: Alexandria via LeMat-Bulk, functional GGA-PBE.

Summary:
Spin magnetization = 0.0 μB per formula unit

a = 4.2750 Å, b = 5.4180 Å, c = 10.9290 Å
α = 90.00°, β = 90.00°, γ = 90.00°
Space group Immm (No. 71)
Asymmetric unit:
Dy1 0.0000 0.0000 0.1859
Al1 0.0000 0.0000 0.5000
Pd1 0.0000 0.5000 0.1266
Pd2 0.0000 0.5000 0.5000

---

Which of them is the most stable, and which is the least stable? w and x, in that order.

---

## w
An optimized crystal structure of DyAlPd6. Source: Alexandria via LeMat-Bulk, functional GGA-PBE.

Summary:
Spin magnetization = 0.0 μB per formula unit

a = 5.4699 Å, b = 5.4699 Å, c = 18.9491 Å
α = 90.00°, β = 90.00°, γ = 120.00°
Space group R-3m (No. 166, hexagonal axes)
Asymmetric unit:
Dy1 0.0000 0.0000 0.0000
Al1 0.0000 0.0000 0.5000
Pd1 0.0081 0.5041 0.9285

---

## x
An optimized crystal structure of DyAlPd6. Source: Alexandria via LeMat-Bulk, functional GGA-PBE.

Summary:
Spin magnetization = 0.0 μB per formula unit

a = 4.0508 Å, b = 4.0508 Å, c = 7.9114 Å
α = 90.00°, β = 90.00°, γ = 90.00°
Space group P4/mmm (No. 123)
Asymmetric unit:
Dy1 0.0000 0.0000 0.0000
Al1 0.0000 0.0000 0.5000
Pd1 0.0000 0.5000 0.2683
Pd2 0.5000 0.5000 0.0000
Pd3 0.5000 0.5000 0.5000

---

Which of them is the most stable, and which is the least stable? x and w, in that order.

---

## w
An optimized crystal structure of DyTmAlPd. Source: Alexandria via LeMat-Bulk, functional GGA-PBE.

Summary:
Spin magnetization = 0.0 μB per formula unit

a = 4.4604 Å, b = 3.7428 Å, c = 11.0812 Å
α = 90.00°, β = 90.00°, γ = 90.00°
Space group Amm2 (No. 38)
Asymmetric unit:
Dy1 0.0000 0.0000 0.0000
Tm1 0.5000 0.0000 0.7061
Al1 0.0000 0.0000 0.2802
Pd1 0.5000 0.0000 0.4225

---

## x
An optimized crystal structure of DyTmAlPd. Source: Alexandria via LeMat-Bulk, functional GGA-PBE.

Summary:
Spin magnetization = 0.0 μB per formula unit

a = 7.1019 Å, b = 7.1019 Å, c = 7.1019 Å
α = 90.00°, β = 90.00°, γ = 90.00°
Space group F-43m (No. 216)
Asymmetric unit:
Dy1 0.0000 0.0000 0.0000
Tm1 0.0000 0.0000 0.5000
Al1 0.2500 0.2500 0.2500
Pd1 0.2500 0.2500 0.7500

---

Which of them is the most stable, and which is the least stable? w and x, in that order.

---

## w
An optimized crystal structure of DyYAlPd. Source: Alexandria via LeMat-Bulk, functional GGA-PBE.

Summary:
Spin magnetization = 0.0 μB per formula unit

a = 7.1600 Å, b = 7.1600 Å, c = 7.1600 Å
α = 90.00°, β = 90.00°, γ = 90.00°
Space group F-43m (No. 216)
Asymmetric unit:
Dy1 0.0000 0.0000 0.0000
Y1 0.0000 0.0000 0.5000
Al1 0.2500 0.2500 0.7500
Pd1 0.2500 0.2500 0.2500

---

## x
An optimized crystal structure of DyYAlPd. Source: Alexandria via LeMat-Bulk, functional GGA-PBE.

Summary:
Spin magnetization = 0.0 μB per formula unit

a = 4.4407 Å, b = 3.7977 Å, c = 11.2189 Å
α = 90.00°, β = 90.00°, γ = 90.00°
Space group Amm2 (No. 38)
Asymmetric unit:
Dy1 0.0000 0.0000 0.0000
Y1 0.5000 0.0000 0.2934
Al1 0.0000 0.0000 0.7167
Pd1 0.5000 0.0000 0.5746

---

Which of them is the most stable, and which is the least stable? x and w, in that order.